1.
! GGA-PBE Rb4LiI4, optimized geometry; values from VASP
! **Formation energy (no corrections)**: -1.21 eV/atom
! **DOS at the Fermi energy**: 4.64 states/eV per cell
! **Energy**: -2.537 eV/atom
! **Total moment**: 0.0202 μB per atom
&SYSTEM
  ibrav = 0, nat = 18, ntyp = 3
/
ATOMIC_SPECIES
Rb 85.47 Rb.upf
Li 6.94 Li.upf
I 126.90 I.upf
ATOMIC_POSITIONS crystal
Rb 0.303 0.276 0.000
Rb 0.803 0.500 0.776
Rb 0.303 0.724 0.000
Rb 0.197 0.224 0.500
Rb 0.697 0.000 0.724
Rb 0.197 0.776 0.500
Rb 0.803 0.500 0.224
Rb 0.697 0.000 0.276
Li 0.000 0.000 0.000
Li 0.500 0.500 0.500
I 0.705 0.714 0.500
I 0.705 0.286 0.500
I 0.205 0.000 0.786
I 0.795 0.214 0.000
I 0.795 0.786 0.000
I 0.295 0.500 0.286
I 0.295 0.500 0.714
I 0.205 0.000 0.214
CELL_PARAMETERS angstrom
7.731 0.000 0.000
0.000 10.907 0.000
0.000 0.000 10.907

---

2.
! GGA-PBE BaFeAg2, optimized geometry; values from VASP
! **DOS at the Fermi energy**: 3.54 states/eV per cell
! **Formation enthalpy at 0 K**: 1.6 eV per formula unit
! **Relative energy among the computed polymorphs**: 0.197 eV/atom
! **Energy**: -3.627 eV/atom
! **Total moment**: 0.6806 μB per atom
&SYSTEM
  ibrav = 0, nat = 4, ntyp = 3
/
ATOMIC_SPECIES
Ag 107.87 Ag.upf
Ba 137.33 Ba.upf
Fe 55.84 Fe.upf
ATOMIC_POSITIONS crystal
Ag 0.000 0.000 0.983
Ag 0.500 0.500 0.185
Ba 0.000 0.000 0.508
Fe 0.500 0.500 0.824
CELL_PARAMETERS angstrom
-2.852 -1.775 1.096
0.850 -2.681 -2.140
4.040 -3.100 5.490

---

3.
! GGA-PBE Pm8Dy2In, optimized geometry; values from VASP
! **DOS at the Fermi energy**: 14.70 states/eV per cell
! **Formation enthalpy at 0 K**: -0.7 eV per formula unit
! **Energy**: -4.608 eV/atom
! **Total moment**: 0.0000 μB per atom
&SYSTEM
  ibrav = 0, nat = 11, ntyp = 3
/
ATOMIC_SPECIES
Pm 145.00 Pm.upf
Dy 162.50 Dy.upf
In 114.82 In.upf
ATOMIC_POSITIONS crystal
Pm 0.410 0.557 0.820
Pm 0.679 0.909 0.358
Pm 0.864 0.821 0.728
Pm 0.955 0.272 0.911
Pm 0.136 0.179 0.272
Pm 0.321 0.091 0.642
Pm 0.590 0.443 0.180
Pm 0.045 0.728 0.089
Dy 0.776 0.366 0.551
Dy 0.224 0.634 0.449
In 0.500 0.000 0.000
CELL_PARAMETERS angstrom
5.038 0.000 0.000
0.000 8.051 0.490
-2.519 -2.998 8.639

---

4.
! GGA-PBE LaPr2Th, optimized geometry; values from VASP
! **DOS at the Fermi energy**: 5.82 states/eV per cell
! **Formation enthalpy at 0 K**: 0.5 eV per formula unit
! **Relative energy among the computed polymorphs**: 0.081 eV/atom
! **Energy**: -5.364 eV/atom
! **Total moment**: 0.0001 μB per atom
&SYSTEM
  ibrav = 0, nat = 4, ntyp = 3
/
ATOMIC_SPECIES
Pr 140.91 Pr.upf
Th 232.04 Th.upf
La 138.91 La.upf
ATOMIC_POSITIONS crystal
Pr 0.092 0.092 0.725
Pr 0.908 0.908 0.275
Th 0.500 0.500 0.500
La 0.000 0.000 0.000
CELL_PARAMETERS angstrom
-0.513 1.928 3.001
-3.207 1.513 0.644
-4.971 -9.362 7.330

---

5.
! GGA-PBE Ta5Ti5P6, optimized geometry; values from VASP
! **DOS at the Fermi energy**: 11.78 states/eV per cell
! **Formation enthalpy at 0 K**: -14.5 eV per formula unit
! **Energy**: -9.108 eV/atom
! **Total moment**: 0.0000 μB per atom
&SYSTEM
  ibrav = 0, nat = 16, ntyp = 3
/
ATOMIC_SPECIES
Ta 180.95 Ta.upf
Ti 47.87 Ti.upf
P 30.97 P.upf
ATOMIC_POSITIONS crystal
Ta 0.000 0.745 0.999
Ta 0.000 0.999 0.745
Ta 0.500 0.755 0.755
Ta 0.500 0.249 0.001
Ta 0.500 0.001 0.249
Ti 0.751 0.334 0.667
Ti 0.751 0.667 0.334
Ti 0.249 0.667 0.334
Ti 0.249 0.334 0.667
Ti 0.000 0.252 0.252
P 0.000 0.605 0.605
P 0.000 0.391 0.003
P 0.000 0.003 0.391
P 0.500 0.396 0.396
P 0.500 0.603 0.000
P 0.500 0.000 0.603
CELL_PARAMETERS angstrom
5.100 0.000 0.000
0.000 6.335 -3.627
0.000 -0.049 7.300

---

6.
! GGA-PBE LiNp2UN4, optimized geometry; values from VASP
! **Formation energy (no corrections)**: -1.05 eV/atom
! **DOS at the Fermi energy**: 10.81 states/eV per cell
! **Energy**: -10.094 eV/atom
! **Total moment**: 1.0997 μB per atom
&SYSTEM
  ibrav = 0, nat = 8, ntyp = 4
/
ATOMIC_SPECIES
Li 6.94 Li.upf
Np 237.00 Np.upf
U 238.03 U.upf
N 14.01 N.upf
ATOMIC_POSITIONS crystal
Li 0.437 0.437 0.000
Np 0.187 0.687 0.500
Np 0.687 0.187 0.500
U 0.937 0.937 0.000
N 0.937 0.437 0.000
N 0.437 0.937 0.000
N 0.165 0.165 0.455
N 0.710 0.710 0.545
CELL_PARAMETERS angstrom
-4.287 -0.528 -1.991
0.512 -4.727 0.151
-0.192 2.546 5.420